Record 1
ScInSeBr2: optimized geometry, GGA-PBE.

a b c (Å): 5.4794 5.4794 5.4315
angles (deg): 90.00 90.00 90.00
Element x y z (fractional)
Sc 0.0000 0.0000 0.0000
In 0.5000 0.5000 0.5000
Se 0.5000 0.5000 0.0000
Br 0.0000 0.5000 0.5000
Br 0.5000 0.0000 0.5000

Computed properties:
The calculation puts the density of states at the Fermi level at 6.644 states/eV per cell. The value obtained for the raw formation energy is -0.192 eV per atom. The calculation puts the offset from the most stable computed form at 931.3 meV/atom. The total DFT energy (no corrections) comes out at -3.37 eV/atom.

***

Record 2
Nb3VCu: optimized geometry, GGA-PBE.

a b c (Å): 4.6581 4.6581 4.6581
angles (deg): 90.00 90.00 90.00
Element x y z (fractional)
Nb 0.0000 0.0000 0.5000
Nb 0.0000 0.5000 0.0000
Nb 0.5000 0.0000 0.0000
V 0.5000 0.5000 0.5000
Cu 0.0000 0.0000 0.0000

Computed properties:
For the formation energy, the calculation gives 1.287 eV/atom. The calculation puts the density of states at the Fermi level at 7.939 states/eV per cell. The calculation puts the offset from the most stable computed form at 166.1 meV/atom. The total DFT energy (no corrections) comes out at -7.40 eV/atom.

***

Q: Among the records above, which one has the lowest offset from the most stable computed form?
A: Nb3VCu

***

Q: The highest total DFT energy (no corrections) belongs to which entry?
A: ScInSeBr2